w) Here is an optimized crystal structure of Ce2ScSe5 from the Alexandria database. Energies are from PBE-GGA.

Computed properties:
V: 32.58 Å³ per atom
Spin magnetization: 2.07 Bohr magnetons per cell
SG: Cmcm (63)

Cell lengths 7.480, 7.480, 13.377 Å; angles 90.00, 90.00, 135.85 degrees
Fractional positions:
Ce: 0.145 0.855 0.564
Ce: 0.145 0.855 0.936
Ce: 0.855 0.145 0.064
Ce: 0.855 0.145 0.436
Sc: 0.198 0.802 0.250
Sc: 0.802 0.198 0.750
Se: 0.050 0.950 0.124
Se: 0.050 0.950 0.376
Se: 0.263 0.737 0.750
Se: 0.311 0.689 0.080
Se: 0.311 0.689 0.420
Se: 0.689 0.311 0.580
Se: 0.689 0.311 0.920
Se: 0.737 0.263 0.250
Se: 0.950 0.050 0.624
Se: 0.950 0.050 0.876

***

x) Here is an optimized crystal structure of Ce2ScSe5 from the Alexandria database. Energies are from PBE-GGA.

Computed properties:
V: 24.10 Å³ per atom
Spin magnetization: 4.14 Bohr magnetons per cell
SG: Pnma (62)

Cell lengths 12.023, 8.334, 7.697 Å; angles 90.00, 90.00, 90.00 degrees
Fractional positions:
Ce: 0.178 0.001 0.032
Ce: 0.178 0.499 0.032
Ce: 0.322 0.501 0.532
Ce: 0.322 0.999 0.532
Ce: 0.678 0.001 0.468
Ce: 0.678 0.499 0.468
Ce: 0.822 0.501 0.968
Ce: 0.822 0.999 0.968
Sc: 0.007 0.750 0.568
Sc: 0.493 0.250 0.068
Sc: 0.507 0.750 0.932
Sc: 0.993 0.250 0.432
Se: 0.003 0.750 0.961
Se: 0.090 0.034 0.668
Se: 0.090 0.466 0.668
Se: 0.187 0.750 0.337
Se: 0.208 0.250 0.316
Se: 0.292 0.750 0.816
Se: 0.313 0.250 0.837
Se: 0.410 0.534 0.168
Se: 0.410 0.966 0.168
Se: 0.497 0.250 0.461
Se: 0.503 0.750 0.539
Se: 0.590 0.034 0.832
Se: 0.590 0.466 0.832
Se: 0.687 0.750 0.163
Se: 0.708 0.250 0.184
Se: 0.792 0.750 0.684
Se: 0.813 0.250 0.663
Se: 0.910 0.534 0.332
Se: 0.910 0.966 0.332
Se: 0.997 0.250 0.039

***

It is x) that is the most stable of them.

***

w) Here is an optimized crystal structure of CeSm2Sc from the Alexandria database. Energies are from PBE-GGA.

Computed properties:
V: 30.24 Å³ per atom
Spin magnetization: 0.56 Bohr magnetons per cell
SG: P4/mmm (123)

Cell lengths 3.495, 3.495, 9.906 Å; angles 90.00, 90.00, 90.00 degrees
Fractional positions:
Ce: 0.000 0.000 0.000
Sm: 0.500 0.500 0.257
Sm: 0.500 0.500 0.743
Sc: 0.000 0.000 0.500

***

x) Here is an optimized crystal structure of CeSm2Sc from the Alexandria database. Energies are from PBE-GGA.

Computed properties:
V: 30.04 Å³ per atom
Spin magnetization: 0.39 Bohr magnetons per cell
SG: R3m (160)

Cell lengths 11.475, 11.475, 11.475 Å; angles 17.57, 17.57, 17.57 degrees
Fractional positions:
Ce: 0.000 0.000 0.000
Sm: 0.419 0.419 0.419
Sm: 0.581 0.581 0.581
Sc: 0.834 0.834 0.834

***

It is x) that is the most stable of them.

***

w) Here is an optimized crystal structure of CeSc2Sn from the Alexandria database. Energies are from PBE-GGA.

Computed properties:
V: 24.37 Å³ per atom
Spin magnetization: 0.15 Bohr magnetons per cell
SG: P4/mmm (123)

Cell lengths 3.638, 3.638, 7.365 Å; angles 90.00, 90.00, 90.00 degrees
Fractional positions:
Ce: 0.000 0.000 0.000
Sc: 0.500 0.500 0.274
Sc: 0.500 0.500 0.726
Sn: 0.000 0.000 0.500

***

x) Here is an optimized crystal structure of CeSc2Sn from the Alexandria database. Energies are from PBE-GGA.

Computed properties:
V: 23.49 Å³ per atom
Spin magnetization: 1.64 Bohr magnetons per cell
SG: Fm-3m (225)

Cell lengths 5.103, 5.103, 5.103 Å; angles 60.00, 60.00, 60.00 degrees
Fractional positions:
Ce: 0.000 0.000 0.000
Sc: 0.250 0.250 0.250
Sc: 0.750 0.750 0.750
Sn: 0.500 0.500 0.500

***

y) Here is an optimized crystal structure of CeSc2Sn from the Alexandria database. Energies are from PBE-GGA.

Computed properties:
V: 24.30 Å³ per atom
Spin magnetization: 0.00 Bohr magnetons per cell
SG: P4/mmm (123)

Cell lengths 4.699, 4.699, 4.401 Å; angles 90.00, 90.00, 90.00 degrees
Fractional positions:
Ce: 0.000 0.000 0.000
Sc: 0.000 0.500 0.500
Sc: 0.500 0.000 0.500
Sn: 0.500 0.500 0.000

***

It is y) that is the most stable of them.

***

w) Here is an optimized crystal structure of Ce2ScSn2 from the Alexandria database. Energies are from PBE-GGA.

Computed properties:
V: 29.14 Å³ per atom
Spin magnetization: 2.50 Bohr magnetons per cell
SG: C2/m (12)

Cell lengths 5.851, 5.851, 5.113 Å; angles 112.35, 112.35, 70.03 degrees
Fractional positions:
Ce: 0.100 0.100 0.378
Ce: 0.900 0.900 0.622
Sc: 0.500 0.500 0.000
Sn: 0.000 0.500 0.000
Sn: 0.500 0.000 0.000

***

x) Here is an optimized crystal structure of Ce2ScSn2 from the Alexandria database. Energies are from PBE-GGA.

Computed properties:
V: 28.46 Å³ per atom
Spin magnetization: 4.63 Bohr magnetons per cell
SG: Cmcm (63)

Cell lengths 9.171, 9.171, 6.361 Å; angles 90.00, 90.00, 147.86 degrees
Fractional positions:
Ce: 0.000 0.000 0.000
Ce: 0.000 0.000 0.500
Ce: 0.199 0.801 0.750
Ce: 0.801 0.199 0.250
Sc: 0.403 0.597 0.750
Sc: 0.597 0.403 0.250
Sn: 0.177 0.823 0.250
Sn: 0.421 0.579 0.250
Sn: 0.579 0.421 0.750
Sn: 0.823 0.177 0.750

***

It is x) that is the most stable of them.

***

w) Here is an optimized crystal structure of TbCeSc2 from the Alexandria database. Energies are from PBE-GGA.

Computed properties:
V: 27.71 Å³ per atom
Spin magnetization: 0.41 Bohr magnetons per cell
SG: P4/mmm (123)

Cell lengths 5.462, 5.462, 3.716 Å; angles 90.00, 90.00, 90.00 degrees
Fractional positions:
Tb: 0.000 0.000 0.000
Ce: 0.500 0.500 0.000
Sc: 0.000 0.500 0.500
Sc: 0.500 0.000 0.500

***

x) Here is an optimized crystal structure of TbCeSc2 from the Alexandria database. Energies are from PBE-GGA.

Computed properties:
V: 27.12 Å³ per atom
Spin magnetization: 0.07 Bohr magnetons per cell
SG: R3m (160)

Cell lengths 11.000, 11.000, 11.000 Å; angles 17.79, 17.79, 17.79 degrees
Fractional positions:
Tb: 0.000 0.000 0.000
Ce: 0.834 0.834 0.834
Sc: 0.249 0.249 0.249
Sc: 0.419 0.419 0.419

***

It is x) that is the most stable of them.

***

w) Here is an optimized crystal structure of TbCeSc2 from the Alexandria database. Energies are from PBE-GGA.

Computed properties:
V: 27.39 Å³ per atom
Spin magnetization: 0.50 Bohr magnetons per cell
SG: P4/mmm (123)

Cell lengths 3.452, 3.452, 9.193 Å; angles 90.00, 90.00, 90.00 degrees
Fractional positions:
Tb: 0.000 0.000 0.000
Ce: 0.000 0.000 0.500
Sc: 0.500 0.500 0.257
Sc: 0.500 0.500 0.743

***

x) Here is an optimized crystal structure of TbCeSc2 from the Alexandria database. Energies are from PBE-GGA.

Computed properties:
V: 27.75 Å³ per atom
Spin magnetization: 0.24 Bohr magnetons per cell
SG: Fm-3m (225)

Cell lengths 5.395, 5.395, 5.395 Å; angles 60.00, 60.00, 60.00 degrees
Fractional positions:
Tb: 0.000 0.000 0.000
Ce: 0.500 0.500 0.500
Sc: 0.250 0.250 0.250
Sc: 0.750 0.750 0.750

***

It is w) that is the most stable of them.

***

w) Here is an optimized crystal structure of TbCeSc from the Alexandria database. Energies are from PBE-GGA.

Computed properties:
V: 28.31 Å³ per atom
Spin magnetization: 0.44 Bohr magnetons per cell
SG: I4mm (107)

Cell lengths 7.607, 7.607, 7.607 Å; angles 153.92, 153.92, 37.21 degrees
Fractional positions:
Tb: 0.000 0.000 0.000
Ce: 0.329 0.329 0.000
Sc: 0.671 0.671 0.000

***

x) Here is an optimized crystal structure of TbCeSc from the Alexandria database. Energies are from PBE-GGA.

Computed properties:
V: 28.15 Å³ per atom
Spin magnetization: 0.41 Bohr magnetons per cell
SG: P3m1 (156)

Cell lengths 3.423, 3.423, 8.324 Å; angles 90.00, 90.00, 120.00 degrees
Fractional positions:
Tb: 0.000 0.000 0.000
Ce: 0.333 0.667 0.654
Sc: 0.667 0.333 0.334

***

It is x) that is the most stable of them.

***

w) Here is an optimized crystal structure of TbCeSc from the Alexandria database. Energies are from PBE-GGA.

Computed properties:
V: 28.54 Å³ per atom
Spin magnetization: 1.69 Bohr magnetons per cell
SG: P2_1/m (11)

Cell lengths 5.938, 5.439, 5.994 Å; angles 90.00, 117.81, 90.00 degrees
Fractional positions:
Tb: 0.200 0.250 0.019
Tb: 0.800 0.750 0.981
Ce: 0.131 0.750 0.622
Ce: 0.869 0.250 0.378
Sc: 0.486 0.750 0.328
Sc: 0.514 0.250 0.672

***

x) Here is an optimized crystal structure of TbCeSc from the Alexandria database. Energies are from PBE-GGA.

Computed properties:
V: 28.39 Å³ per atom
Spin magnetization: 1.99 Bohr magnetons per cell
SG: P2_1/c (14)

Cell lengths 9.409, 5.761, 6.453 Å; angles 90.00, 103.13, 90.00 degrees
Fractional positions:
Tb: 0.233 0.188 0.116
Tb: 0.233 0.312 0.616
Tb: 0.767 0.688 0.384
Tb: 0.767 0.812 0.884
Ce: 0.428 0.711 0.986
Ce: 0.428 0.789 0.486
Ce: 0.572 0.211 0.514
Ce: 0.572 0.289 0.014
Sc: 0.081 0.680 0.201
Sc: 0.081 0.820 0.701
Sc: 0.919 0.180 0.299
Sc: 0.919 0.320 0.799

***

It is w) that is the most stable of them.